Model w:
First-principles (PBE-GGA) data for a relaxed structure of Li2TcBiN, as listed in Alexandria.

abc: 5.070 5.070 5.175
angles: 90.00 90.00 90.00
Space group P4/mmm (No. 123)
One atom of each set of equivalent atoms:
Li1 0.000 0.500 0.000
Tc1 0.000 0.000 0.000
Bi1 0.000 0.000 0.500
N1 0.500 0.500 0.500

## Properties
**Total magnetization**: 3.7 μB per formula unit
**Calculated density**: 4181 kg/m3

Model x:
First-principles (PBE-GGA) data for a relaxed structure of Li2TcBiN, as listed in Alexandria.

abc: 4.272 4.272 3.919
angles: 90.00 90.00 90.00
Space group P4/mmm (No. 123)
One atom of each set of equivalent atoms:
Li1 0.000 0.500 0.000
Tc1 0.000 0.000 0.500
Bi1 0.500 0.500 0.500
N1 0.000 0.000 0.000

## Properties
**Total magnetization**: 0.0 μB per formula unit
**Calculated density**: 7775 kg/m3

Short version: model w is the least stable of them.

Model w:
First-principles (PBE-GGA) data for a relaxed structure of Na2LiBi2, as listed in Alexandria.

abc: 9.317 9.317 3.355
angles: 90.00 90.00 90.00
Space group P4/mbm (No. 127)
One atom of each set of equivalent atoms:
Na1 0.117 0.383 0.000
Li1 0.000 0.000 0.000
Bi1 0.182 0.682 0.500

## Properties
**Total magnetization**: 0.0 μB per formula unit
**Calculated density**: 5370 kg/m3

Model x:
First-principles (PBE-GGA) data for a relaxed structure of Na2LiBi2, as listed in Alexandria.

abc: 7.679 7.679 4.997
angles: 90.00 90.00 90.00
Space group P4/mbm (No. 127)
One atom of each set of equivalent atoms:
Na1 0.162 0.338 0.000
Li1 0.000 0.000 0.500
Bi1 0.142 0.642 0.500

## Properties
**Total magnetization**: 0.0 μB per formula unit
**Calculated density**: 5307 kg/m3

Model y:
First-principles (PBE-GGA) data for a relaxed structure of Na2LiBi2, as listed in Alexandria.

abc: 4.778 4.778 14.206
angles: 90.00 90.00 90.00
Space group I4/mmm (No. 139)
One atom of each set of equivalent atoms:
Na1 0.000 0.500 0.250
Li1 0.000 0.000 0.000
Bi1 0.000 0.000 0.398

## Properties
**Total magnetization**: 0.0 μB per formula unit
**Calculated density**: 4821 kg/m3

Model z:
First-principles (PBE-GGA) data for a relaxed structure of Na2LiBi2, as listed in Alexandria.

abc: 4.840 6.466 9.525
angles: 90.00 90.00 90.00
Space group Immm (No. 71)
One atom of each set of equivalent atoms:
Na1 0.000 0.000 0.191
Li1 0.000 0.500 0.000
Bi1 0.000 0.254 0.500

## Properties
**Total magnetization**: 0.0 μB per formula unit
**Calculated density**: 5246 kg/m3

Short version: model y is the least stable of them.

Model w:
First-principles (PBE-GGA) data for a relaxed structure of NaLi4Bi, as listed in Alexandria.

abc: 8.004 8.004 8.004
angles: 90.00 90.00 90.00
Space group F-43m (No. 216)
One atom of each set of equivalent atoms:
Na1 0.000 0.000 0.000
Li1 0.125 0.125 0.625
Bi1 0.250 0.250 0.250

## Properties
**Total magnetization**: 0.0 μB per formula unit
**Calculated density**: 3364 kg/m3

Model x:
First-principles (PBE-GGA) data for a relaxed structure of NaLi4Bi, as listed in Alexandria.

abc: 9.914 9.914 8.701
angles: 90.00 90.00 90.00
Space group I4_1md (No. 109)
One atom of each set of equivalent atoms:
Na1 0.000 0.000 0.000
Li1 0.000 0.159 0.355
Li2 0.000 0.252 0.736
Bi1 0.000 0.000 0.623

## Properties
**Total magnetization**: 0.0 μB per formula unit
**Calculated density**: 2017 kg/m3

Short version: model x is the least stable of them.